1.
Below is LiTlGe after structural relaxation, with properties calculated at the GGA-PBE level.

Calculated values
Calculated formation energy = 0.6907 eV/atom
Calculated total energy = -0.1672 Ry per atom

Cell and atoms, written as CIF:
```
data_LiTlGe
_symmetry_space_group_name_H-M 'P 63/m m c'
_symmetry_Int_Tables_number 194
_symmetry_space_group_name_Hall '-P 6c 2c'
_cell_length_a 4.8420
_cell_length_b 4.8420
_cell_length_c 10.6402
_cell_angle_alpha 90.00
_cell_angle_beta 90.00
_cell_angle_gamma 120.00
loop_
_atom_site_label
_atom_site_type_symbol
_atom_site_fract_x
_atom_site_fract_y
_atom_site_fract_z
Li1 Li 0.3333 0.6667 0.2500
Tl1 Tl 0.0000 0.0000 0.2500
Ge1 Ge 0.0000 0.0000 0.0000
```

2.
Below is LiTlGe after structural relaxation, with properties calculated at the GGA-PBE level.

Calculated values
Calculated formation energy = -0.0347 eV/atom
Calculated total energy = -0.2205 Ry per atom

Cell and atoms, written as CIF:
```
data_LiTlGe
_symmetry_space_group_name_H-M 'P -6 m 2'
_symmetry_Int_Tables_number 187
_symmetry_space_group_name_Hall 'P -6 2'
_cell_length_a 4.5769
_cell_length_b 4.5769
_cell_length_c 7.6076
_cell_angle_alpha 90.00
_cell_angle_beta 90.00
_cell_angle_gamma 120.00
loop_
_atom_site_label
_atom_site_type_symbol
_atom_site_fract_x
_atom_site_fract_y
_atom_site_fract_z
Li1 Li 0.0000 0.0000 0.0000
Li2 Li 0.0000 0.0000 0.5000
Tl1 Tl 0.6667 0.3333 0.2023
Ge1 Ge 0.3333 0.6667 0.3308
```

3.
Below is Li2Tl2Ge after structural relaxation, with properties calculated at the GGA-PBE level.

Calculated values
Polymorph energy (0 for the lowest one) = 0.054 eV per atom
Calculated formation energy = -0.0274 eV/atom
Calculated total energy = -0.1957 Ry per atom

Cell and atoms, written as CIF:
```
data_Li2Tl2Ge
_symmetry_space_group_name_H-M 'P 4/m b m'
_symmetry_Int_Tables_number 127
_symmetry_space_group_name_Hall '-P 4 2ab'
_cell_length_a 7.982
_cell_length_b 7.982
_cell_length_c 3.407
_cell_angle_alpha 90.00
_cell_angle_beta 90.00
_cell_angle_gamma 90.00
loop_
_atom_site_label
_atom_site_type_symbol
_atom_site_fract_x
_atom_site_fract_y
_atom_site_fract_z
Li1 Li 0.156 0.344 0.000
Tl1 Tl 0.145 0.645 0.500
Ge1 Ge 0.000 0.000 0.500
```

4.
Below is LiTlGe after structural relaxation, with properties calculated at the GGA-PBE level.

Calculated values
Calculated formation energy = -0.0228 eV/atom
Calculated total energy = -0.2197 Ry per atom

Cell and atoms, written as CIF:
```
data_LiTlGe
_symmetry_space_group_name_H-M 'P 1 m 1'
_symmetry_Int_Tables_number 6
_cell_length_a 5.503
_cell_length_b 4.245
_cell_length_c 6.180
_cell_angle_alpha 90.00
_cell_angle_beta 105.92
_cell_angle_gamma 90.00
loop_
_symmetry_equiv_pos_as_xyz
'x,y,z'
'x,-y,z'
loop_
_atom_site_label
_atom_site_type_symbol
_atom_site_fract_x
_atom_site_fract_y
_atom_site_fract_z
Li1 Li 0.000 0.000 0.000
Li2 Li 0.157 0.000 0.546
Tl1 Tl 0.585 0.000 0.188
Tl2 Tl 0.661 0.500 0.659
Ge1 Ge 0.188 0.500 0.263
Ge2 Ge 0.218 0.500 0.862
```

5.
Below is LiTlGe after structural relaxation, with properties calculated at the GGA-PBE level.

Calculated values
Calculated formation energy = 0.0477 eV/atom
Calculated total energy = -0.2145 Ry per atom

Cell and atoms, written as CIF:
```
data_LiTlGe
_symmetry_space_group_name_H-M 'P 63/m m c'
_symmetry_Int_Tables_number 194
_symmetry_space_group_name_Hall '-P 6c 2c'
_cell_length_a 5.0129
_cell_length_b 5.0129
_cell_length_c 6.0848
_cell_angle_alpha 90.00
_cell_angle_beta 90.00
_cell_angle_gamma 120.00
loop_
_atom_site_label
_atom_site_type_symbol
_atom_site_fract_x
_atom_site_fract_y
_atom_site_fract_z
Li1 Li 0.0000 0.0000 0.0000
Tl1 Tl 0.3333 0.6667 0.2500
Ge1 Ge 0.3333 0.6667 0.7500
```

6.
Below is LiTlGe after structural relaxation, with properties calculated at the GGA-PBE level.

Calculated values
Calculated formation energy = -0.1338 eV/atom
Calculated total energy = -0.2278 Ry per atom

Cell and atoms, written as CIF:
```
data_LiTlGe
_symmetry_space_group_name_H-M 'C m c m'
_symmetry_Int_Tables_number 63
_symmetry_space_group_name_Hall '-C 2c 2'
_cell_length_a 4.097
_cell_length_b 17.043
_cell_length_c 3.870
_cell_angle_alpha 90.00
_cell_angle_beta 90.00
_cell_angle_gamma 90.00
loop_
_atom_site_label
_atom_site_type_symbol
_atom_site_fract_x
_atom_site_fract_y
_atom_site_fract_z
Li1 Li 0.000 0.061 0.250
Tl1 Tl 0.000 0.196 0.750
Ge1 Ge 0.000 0.450 0.250
```

7.
Below is LiTmTlGe after structural relaxation, with properties calculated at the GGA-PBE level.

Calculated values
Calculated formation energy = -0.3164 eV/atom
Calculated total energy = -0.2689 Ry per atom

Cell and atoms, written as CIF:
```
data_LiTmTlGe
_symmetry_space_group_name_H-M 'F -4 3 m'
_symmetry_Int_Tables_number 216
_symmetry_space_group_name_Hall 'F -4 2 3'
_cell_length_a 7.066
_cell_length_b 7.066
_cell_length_c 7.066
_cell_angle_alpha 90.00
_cell_angle_beta 90.00
_cell_angle_gamma 90.00
loop_
_atom_site_label
_atom_site_type_symbol
_atom_site_fract_x
_atom_site_fract_y
_atom_site_fract_z
Li1 Li 0.000 0.000 0.000
Tm1 Tm 0.000 0.000 0.500
Tl1 Tl 0.250 0.250 0.750
Ge1 Ge 0.250 0.250 0.250
```

8.
Below is LiTmGe4 after structural relaxation, with properties calculated at the GGA-PBE level.

Calculated values
Calculated formation energy = -0.2475 eV/atom
Calculated total energy = -0.3227 Ry per atom

Cell and atoms, written as CIF:
```
data_LiTmGe4
_symmetry_space_group_name_H-M 'F -4 3 m'
_symmetry_Int_Tables_number 216
_symmetry_space_group_name_Hall 'F -4 2 3'
_cell_length_a 7.809
_cell_length_b 7.809
_cell_length_c 7.809
_cell_angle_alpha 90.00
_cell_angle_beta 90.00
_cell_angle_gamma 90.00
loop_
_atom_site_label
_atom_site_type_symbol
_atom_site_fract_x
_atom_site_fract_y
_atom_site_fract_z
Li1 Li 0.000 0.000 0.000
Tm1 Tm 0.250 0.250 0.250
Ge1 Ge 0.125 0.125 0.625
```

9.
Below is Li2Tm3Ge3 after structural relaxation, with properties calculated at the GGA-PBE level.

Calculated values
Calculated formation energy = -0.6642 eV/atom
Calculated total energy = -0.3345 Ry per atom

Cell and atoms, written as CIF:
```
data_Li2Tm3Ge3
_symmetry_space_group_name_H-M 'C m c m'
_symmetry_Int_Tables_number 63
_symmetry_space_group_name_Hall '-C 2c 2'
_cell_length_a 4.179
_cell_length_b 11.099
_cell_length_c 14.013
_cell_angle_alpha 90.00
_cell_angle_beta 90.00
_cell_angle_gamma 90.00
loop_
_atom_site_label
_atom_site_type_symbol
_atom_site_fract_x
_atom_site_fract_y
_atom_site_fract_z
Li1 Li 0.000 0.221 0.079
Tm1 Tm 0.000 0.073 0.618
Tm2 Tm 0.000 0.362 0.750
Ge1 Ge 0.000 0.333 0.250
Ge2 Ge 0.000 0.400 0.545
```

10.
Below is LiTm2Ge2 after structural relaxation, with properties calculated at the GGA-PBE level.

Calculated values
Calculated formation energy = -0.6760 eV/atom
Calculated total energy = -0.3450 Ry per atom

Cell and atoms, written as CIF:
```
data_LiTm2Ge2
_symmetry_space_group_name_H-M 'I m m m'
_symmetry_Int_Tables_number 71
_symmetry_space_group_name_Hall '-I 2 2'
_cell_length_a 4.219
_cell_length_b 5.914
_cell_length_c 8.447
_cell_angle_alpha 90.00
_cell_angle_beta 90.00
_cell_angle_gamma 90.00
loop_
_atom_site_label
_atom_site_type_symbol
_atom_site_fract_x
_atom_site_fract_y
_atom_site_fract_z
Li1 Li 0.000 0.000 0.000
Tm1 Tm 0.000 0.500 0.206
Ge1 Ge 0.000 0.220 0.500
```

11.
Below is LiTm2Ge4 after structural relaxation, with properties calculated at the GGA-PBE level.

Calculated values
Calculated formation energy = -0.5635 eV/atom
Calculated total energy = -0.3493 Ry per atom

Cell and atoms, written as CIF:
```
data_LiTm2Ge4
_symmetry_space_group_name_H-M 'P 1 m 1'
_symmetry_Int_Tables_number 6
_cell_length_a 4.051
_cell_length_b 3.963
_cell_length_c 8.620
_cell_angle_alpha 90.00
_cell_angle_beta 103.52
_cell_angle_gamma 90.00
loop_
_symmetry_equiv_pos_as_xyz
'x,y,z'
'x,-y,z'
loop_
_atom_site_label
_atom_site_type_symbol
_atom_site_fract_x
_atom_site_fract_y
_atom_site_fract_z
Li1 Li 0.000 0.000 0.000
Tm1 Tm 0.572 0.500 0.145
Tm2 Tm 0.783 0.000 0.568
Ge1 Ge 0.140 0.000 0.280
Ge2 Ge 0.234 0.500 0.470
Ge3 Ge 0.416 0.000 0.833
Ge4 Ge 0.913 0.500 0.836
```

12.
Below is LiTm2Ge after structural relaxation, with properties calculated at the GGA-PBE level.

Calculated values
Calculated formation energy = -0.4037 eV/atom
Calculated total energy = -0.3140 Ry per atom

Cell and atoms, written as CIF:
```
data_LiTm2Ge
_symmetry_space_group_name_H-M 'P 4/m m m'
_symmetry_Int_Tables_number 123
_symmetry_space_group_name_Hall '-P 4 2'
_cell_length_a 4.719
_cell_length_b 4.719
_cell_length_c 3.942
_cell_angle_alpha 90.00
_cell_angle_beta 90.00
_cell_angle_gamma 90.00
loop_
_atom_site_label
_atom_site_type_symbol
_atom_site_fract_x
_atom_site_fract_y
_atom_site_fract_z
Li1 Li 0.000 0.000 0.000
Tm1 Tm 0.000 0.500 0.500
Ge1 Ge 0.500 0.500 0.000
```

13.
Below is Li3TmGe3 after structural relaxation, with properties calculated at the GGA-PBE level.

Calculated values
Calculated formation energy = 0.2617 eV/atom
Calculated total energy = -0.2334 Ry per atom

Cell and atoms, written as CIF:
```
data_Li3TmGe3
_symmetry_space_group_name_H-M 'P m -3 n'
_symmetry_Int_Tables_number 223
_symmetry_space_group_name_Hall '-P 4n 2 3'
_cell_length_a 6.611
_cell_length_b 6.611
_cell_length_c 6.611
_cell_angle_alpha 90.00
_cell_angle_beta 90.00
_cell_angle_gamma 90.00
loop_
_atom_site_label
_atom_site_type_symbol
_atom_site_fract_x
_atom_site_fract_y
_atom_site_fract_z
Li1 Li 0.000 0.250 0.500
Tm1 Tm 0.000 0.000 0.000
Ge1 Ge 0.000 0.500 0.250
```